1.
Pr5SmEr12 after structural relaxation. Source: Alexandria, functional PBE-GGA.

Geometry as POSCAR:
```
Pr5SmEr12
1.0
-7.603 -0.041 -8.542
-2.714 -8.541 -5.198
-4.367 -0.981 3.891
Pr Sm Er
5 1 12
Direct
0.500 0.000 0.500
0.165 0.669 0.500
0.835 0.331 0.500
0.665 0.669 0.000
0.335 0.331 0.000
0.000 0.000 0.000
0.822 0.000 0.445
0.178 0.000 0.555
0.681 0.000 0.945
0.319 0.000 0.055
0.344 0.667 0.950
0.989 0.667 0.050
0.011 0.333 0.950
0.656 0.333 0.050
0.511 0.333 0.550
0.845 0.667 0.550
0.155 0.333 0.450
0.489 0.667 0.450
```

Space-group type ... No. 12
Crystal system ... monoclinic
E_form ... 0.097 eV per atom

2.
HoP2Rh after structural relaxation. Source: Alexandria, functional PBE-GGA.

Geometry as POSCAR:
```
HoP2Rh
1.0
3.853 0.000 0.000
1.927 3.337 0.000
1.927 1.112 5.365
P Rh Ho
2 1 1
Direct
0.269 0.269 0.192
0.731 0.731 0.808
0.000 0.000 0.000
0.500 0.500 0.500
```

Space-group type ... No. 166
Crystal system ... trigonal
E_form ... -1.022 eV per atom